(1)
Here is Pu2HgPd4 after structural relaxation from Alexandria via LeMat-Bulk. Energies are from PBE-GGA.

Cell lengths 4.067, 4.067, 9.563 Å; angles 102.28, 102.28, 90.00 degrees
Atoms (fractional coordinates):
Pu  0.619  0.619  0.238
Pu  0.381  0.381  0.762
Hg  0.000  0.000  0.000
Pd  0.147  0.147  0.295
Pd  0.853  0.853  0.705
Pd  0.750  0.250  0.500
Pd  0.250  0.750  0.500

Results
For the formation energy from the elements, the calculation gives -397 meV/atom. Its magnetic moment is 10.980 μB per formula unit. Its space-group type is I4/mmm, No. 139. The calculation puts the energy at -52.52 eV/cell. The volume is 21.6 Å³ per atom.

(2)
Here is PuHgPd2 after structural relaxation from Alexandria via LeMat-Bulk. Energies are from PBE-GGA.

Cell lengths 3.689, 4.668, 4.668 Å; angles 90.00, 90.00, 90.00 degrees
Atoms (fractional coordinates):
Hg  0.500  0.000  0.000
Pd  0.000  0.000  0.500
Pd  0.000  0.500  0.000
Pu  0.500  0.500  0.500

Results
For the formation energy from the elements, the calculation gives -291 meV/atom. Its magnetic moment is 5.446 μB per formula unit. Its space-group type is P4/mmm, No. 123. The calculation puts the energy at -26.18 eV/cell. The volume is 20.1 Å³ per atom.